Entry 1:
A plane-wave DFT calculation with PBE+U was carried out for an optimized crystal structure of Li4Mn3V2Co3O16.

- calculated volume (Å³/cell) = 279
- electronic total energy (eV/atom) = -6.5781
- size of the total moment (μB/atom) = 0.571
- density (g cm⁻³) = 4.33

Cell: 5.8297 5.8297 9.4878 Å, 89.90 89.90 59.89°
Site moments in Bohr magnetons follow the coordinates.
Fractional coordinates of all 28 atoms:
Mn 0.1721 0.6654 0.7149  3.28
O 0.9928 0.9928 0.3017  0.04
Mn 0.8232 0.8232 0.2192  3.22
O 0.5334 0.9660 0.3470  -0.05
O 0.4798 0.0450 0.8348  -0.07
Mn 0.6654 0.1721 0.7149  3.28
O 0.0037 0.0037 0.8094  -0.07
O 0.4822 0.4822 0.8368  -0.11
Li 0.6698 0.6698 0.8978  0.00
O 0.5217 0.5217 0.3661  -0.02
Li 0.0035 0.0035 0.4905  0.00
Co 0.3388 0.8265 0.2122  2.62
O 0.8397 0.8397 0.6039  -0.07
O 0.6690 0.6690 0.1060  0.04
V 0.6599 0.6599 0.4838  1.12
V 0.3260 0.3260 0.9953  0.36
O 0.3271 0.8413 0.6029  -0.06
Li 0.9939 0.9939 0.9979  0.00
O 0.8413 0.3271 0.6029  -0.06
Co 0.8265 0.3388 0.2122  2.62
O 0.1574 0.6468 0.0859  -0.03
Co 0.1729 0.1729 0.7143  0.05
O 0.1702 0.1702 0.0748  -0.04
O 0.0450 0.4798 0.8348  -0.07
O 0.6468 0.1574 0.0859  -0.03
O 0.9660 0.5334 0.3470  -0.05
Li 0.3351 0.3351 0.4027  0.00
O 0.3365 0.3365 0.6118  -0.09

Entry 2:
A plane-wave DFT calculation with PBE+U was carried out for an optimized crystal structure of Li2MnV4CoO12.

- calculated volume (Å³/cell) = 248
- electronic total energy (eV/atom) = -7.1453
- size of the total moment (μB/atom) = 0.500
- density (g cm⁻³) = 3.51

Cell: 6.9596 6.9596 5.6895 Å, 72.60 72.60 76.71°
Site moments in Bohr magnetons follow the coordinates.
Fractional coordinates of all 20 atoms:
O 0.4049 0.2997 0.1883  -0.01
O 0.6419 0.6853 0.3033  -0.01
V 0.3745 0.1802 0.5166  0.17
O 0.9745 0.3982 0.4293  -0.01
O 0.9859 0.8010 0.3980  0.01
O 0.7003 0.5951 0.8117  -0.01
V 0.6102 0.8388 0.9552  1.12
Mn 0.9065 0.0935 0.5000  4.57
V 0.8198 0.6255 0.4834  0.17
Li 0.7144 0.2856 0.0000  0.00
O 0.9908 0.2082 0.0930  0.00
Co 0.0724 0.9276 0.0000  2.67
O 0.6018 0.0255 0.5707  -0.01
Li 0.2727 0.7273 0.5000  0.00
O 0.1990 0.0141 0.6020  0.01
O 0.1115 0.6489 0.9332  -0.05
O 0.7918 0.0092 0.9070  0.00
O 0.3511 0.8885 0.0668  -0.05
V 0.1612 0.3898 0.0448  1.12
O 0.3147 0.3581 0.6967  -0.01